A relaxed RbGeTeS4 crystal. Source: Alexandria via LeMat-Bulk, functional PBE.

Output
space group	P2_1/m, No. 11

Cell: 6.7527 6.9557 9.1891 Å, 90.00 107.98 90.00°
Fractional positions:
Rb: 0.7254 0.7500 0.9352
Rb: 0.2746 0.2500 0.0648
Ge: 0.1918 0.7500 0.3172
Ge: 0.8082 0.2500 0.6828
Te: 0.7130 0.7500 0.4496
Te: 0.2870 0.2500 0.5504
S: 0.9975 0.5087 0.7255
S: 0.0025 0.0087 0.2745
S: 0.0025 0.4913 0.2745
S: 0.9975 0.9913 0.7255
S: 0.4361 0.7500 0.1911
S: 0.5639 0.2500 0.8089
S: 0.4290 0.7500 0.5610
S: 0.5710 0.2500 0.4390


A relaxed RbTlGeS3 crystal. Source: Alexandria via LeMat-Bulk, functional PBE.

Output
space group	C2/m, No. 12

Cell: 7.4348 7.4348 8.3241 Å, 66.49 66.49 71.45°
Fractional positions:
Rb: 0.6931 0.6931 0.8221
Rb: 0.3069 0.3069 0.1779
Tl: 0.3332 0.6668 0.5000
Tl: 0.6668 0.3332 0.5000
Ge: 0.0377 0.0377 0.8281
Ge: 0.9623 0.9623 0.1719
S: 0.2425 0.2425 0.6284
S: 0.1473 0.7196 0.8191
S: 0.7196 0.1473 0.8191
S: 0.2804 0.8527 0.1809
S: 0.8527 0.2804 0.1809
S: 0.7575 0.7575 0.3716


A relaxed Rb2TmGeS4 crystal. Source: Alexandria via LeMat-Bulk, functional PBE.

Output
space group	Fddd, No. 70

Cell: 6.4718 7.8738 12.6783 Å, 83.98 75.21 65.73°
Fractional positions:
Rb: 0.1821 0.0000 0.6358
Rb: 0.8179 0.0000 0.3642
Rb: 0.5679 0.5000 0.8642
Rb: 0.9321 0.5000 0.1358
Tm: 0.7500 0.5000 0.5000
Tm: 0.0000 0.0000 0.0000
Ge: 0.2500 0.5000 0.5000
Ge: 0.5000 0.0000 0.0000
S: 0.3122 0.8059 0.1017
S: 0.2198 0.1941 0.8983
S: 0.8819 0.8059 0.8983
S: 0.5862 0.1941 0.1017
S: 0.4378 0.6941 0.3983
S: 0.5302 0.3059 0.6017
S: 0.8681 0.6941 0.6017
S: 0.1638 0.3059 0.3983


Record-wise uncorrected energy values, in eV per atom: -3.9924; -3.9007; -4.5076
Record-wise energy relative to the elements, uncorrected values, in eV per atom: -0.387; -0.512; -1.066